(1)
An optimized crystal structure of NaSrPm, computed with PBE.

Unit cell a=5.712 b=5.712 c=5.712 alpha=60.00 beta=60.00 gamma=60.00
Fractional coordinates of all 3 atoms:
Na 0.000 0.000 0.000
Sr 0.250 0.250 0.250
Pm 0.750 0.750 0.750

V = 43.931 Å³/atom
M_tot = 0.77 μB per cell
symmetry = F-43m

***

(2)
An optimized crystal structure of NaTbPm, computed with PBE.

Unit cell a=5.359 b=5.359 c=5.359 alpha=60.00 beta=60.00 gamma=60.00
Fractional coordinates of all 3 atoms:
Na 0.000 0.000 0.000
Tb 0.250 0.250 0.250
Pm 0.750 0.750 0.750

V = 36.285 Å³/atom
M_tot = 2.00 μB per cell
symmetry = F-43m

***

(3)
An optimized crystal structure of NaPmTe, computed with PBE.

Unit cell a=5.142 b=5.142 c=5.142 alpha=60.00 beta=60.00 gamma=60.00
Fractional coordinates of all 3 atoms:
Na 0.000 0.000 0.000
Pm 0.500 0.500 0.500
Te 0.250 0.250 0.250

V = 32.043 Å³/atom
M_tot = 0.03 μB per cell
symmetry = F-43m

***

no.,relative energy among the computed polymorphs (kJ/mol of formula units),energy (eV for the cell shown)
1,0,-5.9
2,0,-8.3
3,0,-10.8